# 1
Below is HoAlNO after structural relaxation, with properties calculated at the PBE level.

Summary:
M_tot in μB/cell: 2.85
Electronic total energy in eV per atom: -7.335
ρ in g cm⁻³: 6.99

a = 5.721 Å, b = 7.384 Å, c = 4.995 Å
α = 90.00°, β = 90.00°, γ = 90.00°
Space group Pca2_1 (No. 29)
One atom of each set of equivalent atoms:
Ho 0.049 0.134 0.000 [4 per cell]
Al 0.088 0.596 0.949 [4 per cell]
N 0.106 0.588 0.575 [4 per cell]
O 0.061 0.182 0.509 [4 per cell]

# 2
Below is GdHoSi2 after structural relaxation, with properties calculated at the PBE level.

Summary:
M_tot in μB/cell: 0.01
Electronic total energy in eV per atom: -5.846
ρ in g cm⁻³: 7.20

a = 5.719 Å, b = 3.846 Å, c = 7.932 Å
α = 90.00°, β = 90.09°, γ = 90.00°
Space group P2_1/m (No. 11)
One atom of each set of equivalent atoms:
Gd 0.115 0.250 0.179 [2 per cell]
Ho 0.385 0.250 0.679 [2 per cell]
Si 0.129 0.750 0.462 [2 per cell]
Si 0.372 0.750 0.962 [2 per cell]

# 3
Below is NbNiTe3Pd after structural relaxation, with properties calculated at the PBE level.

Summary:
M_tot in μB/cell: 0.00
Electronic total energy in eV per atom: -5.477
ρ in g cm⁻³: 7.17

a = 7.657 Å, b = 3.803 Å, c = 10.680 Å
α = 90.00°, β = 107.25°, γ = 90.00°
Space group P2_1/m (No. 11)
One atom of each set of equivalent atoms:
Nb 0.202 0.250 0.197 [2 per cell]
Ni 0.047 0.250 0.938 [2 per cell]
Te 0.024 0.750 0.313 [2 per cell]
Te 0.276 0.750 0.010 [2 per cell]
Te 0.429 0.750 0.677 [2 per cell]
Pd 0.391 0.750 0.408 [2 per cell]

# 4
Below is CdTcPO after structural relaxation, with properties calculated at the PBE level.

Summary:
M_tot in μB/cell: 0.00
Electronic total energy in eV per atom: -5.932
ρ in g cm⁻³: 6.98

a = 3.025 Å, b = 6.993 Å, c = 5.784 Å
α = 90.00°, β = 90.00°, γ = 90.00°
Space group Pmc2_1 (No. 26)
One atom of each set of equivalent atoms:
Cd 0.000 0.049 0.000 [2 per cell]
Tc 0.500 0.500 0.249 [2 per cell]
P 0.000 0.324 0.499 [2 per cell]
O 0.500 0.287 0.999 [2 per cell]

# 5
Below is NpBeNb after structural relaxation, with properties calculated at the PBE level.

Summary:
M_tot in μB/cell: 13.42
Electronic total energy in eV per atom: -8.143
ρ in g cm⁻³: 10.63

a = 5.961 Å, b = 5.961 Å, c = 5.961 Å
α = 90.00°, β = 90.00°, γ = 90.00°
Space group F-43m (No. 216)
One atom of each set of equivalent atoms:
Np 0.000 0.000 0.000 [4 per cell]
Be 0.250 0.250 0.750 [4 per cell]
Nb 0.000 0.000 0.500 [4 per cell]

# 6
Below is GdHo3Pb2N2 after structural relaxation, with properties calculated at the PBE level.

Summary:
M_tot in μB/cell: 0.01
Electronic total energy in eV per atom: -6.406
ρ in g cm⁻³: 10.72

a = 3.5420 Å, b = 3.5420 Å, c = 15.5983 Å
α = 90.00°, β = 90.00°, γ = 120.00°
Space group P3m1 (No. 156)
One atom of each set of equivalent atoms:
Gd 0.0000 0.0000 0.0000 [1 per cell]
Ho 0.0000 0.0000 0.6666 [1 per cell]
Ho 0.6667 0.3333 0.1679 [1 per cell]
Ho 0.6667 0.3333 0.5012 [1 per cell]
Pb 0.0000 0.0000 0.3349 [1 per cell]
Pb 0.6667 0.3333 0.8321 [1 per cell]
N 0.3333 0.6667 0.0880 [1 per cell]
N 0.3333 0.6667 0.5839 [1 per cell]

# 7
Below is Nd2MgZrO6 after structural relaxation, with properties calculated at the PBE level.

Summary:
M_tot in μB/cell: 0.01
Electronic total energy in eV per atom: -8.172
ρ in g cm⁻³: 6.48

a = 5.555 Å, b = 5.785 Å, c = 9.684 Å
α = 90.00°, β = 124.55°, γ = 90.00°
Space group P2_1/c (No. 14)
One atom of each set of equivalent atoms:
Nd 0.234 0.057 0.249 [4 per cell]
Mg 0.000 0.000 0.500 [2 per cell]
Zr 0.500 0.000 0.000 [2 per cell]
O 0.140 0.199 0.944 [4 per cell]
O 0.245 0.699 0.943 [4 per cell]
O 0.356 0.039 0.748 [4 per cell]

# 8
Below is NdGeAu after structural relaxation, with properties calculated at the PBE level.

Summary:
M_tot in μB/cell: 0.00
Electronic total energy in eV per atom: -5.053
ρ in g cm⁻³: 10.04

a = 4.5282 Å, b = 4.5282 Å, c = 7.7114 Å
α = 90.00°, β = 90.00°, γ = 120.00°
Space group P6_3mc (No. 186)
One atom of each set of equivalent atoms:
Nd 0.0000 0.0000 0.0000 [2 per cell]
Ge 0.3333 0.6667 0.2129 [2 per cell]
Au 0.3333 0.6667 0.7780 [2 per cell]